--- w ---
12
Lattice="2.591 -7.792 0.000 2.591 7.792 0.000 0.000 0.000 8.850" Properties=species:S:1:pos:R:3 comment="Pr6In5Pb, optimized geometry, DFT PBE-GGA" rho_g_cm3=7.6 n_ef_per_ev_atom=0.6029 pbc="T T T"
Pr 0.000 0.000 2.205
Pr 0.000 0.000 6.645
Pr 2.591 2.599 2.192
Pr 2.591 2.599 6.658
Pr 2.591 -2.599 2.192
Pr 2.591 -2.599 6.658
In 2.591 5.202 0.000
In 2.591 5.124 4.425
In 2.591 0.000 0.000
In 2.591 -5.124 4.425
In 2.591 -5.202 0.000
Pb 2.591 0.000 4.425

***

--- x ---
12
Lattice="4.777 -8.326 0.000 4.777 8.326 0.000 -3.201 0.000 4.521" Properties=species:S:1:pos:R:3 comment="Pr6In5Pb, optimized geometry, DFT PBE-GGA" rho_g_cm3=7.5 n_ef_per_ev_atom=0.3439 pbc="T T T"
Pr -0.016 2.779 3.388
Pr 1.583 0.000 1.126
Pr -0.016 -2.779 3.388
Pr 6.369 2.779 1.133
Pr 4.770 0.000 3.395
Pr 6.369 -2.779 1.133
In -1.601 0.000 2.260
In 4.777 5.550 0.000
In 3.176 2.817 2.260
In 3.176 -2.817 2.260
In 4.777 -5.550 0.000
Pb 4.777 0.000 0.000

***

Most stable of them? w.

***

--- w ---
18
Lattice="10.531 0.000 0.000 0.000 10.539 0.000 0.000 0.000 5.285" Properties=species:S:1:pos:R:3 comment="Pr6In2Pb, optimized geometry, DFT PBE-GGA" rho_g_cm3=7.3 n_ef_per_ev_atom=1.4632 pbc="T T T"
Pr 0.152 1.872 0.000
Pr 1.381 6.637 2.642
Pr 1.872 10.371 2.642
Pr 3.393 5.101 0.000
Pr 3.884 1.367 0.000
Pr 5.113 7.141 2.642
Pr 5.418 3.398 2.642
Pr 6.646 9.172 0.000
Pr 7.137 5.438 0.000
Pr 8.659 0.168 2.642
Pr 9.150 3.902 2.642
Pr 10.378 8.668 0.000
In 2.079 3.173 2.642
In 3.186 8.442 0.000
In 7.344 2.097 0.000
In 8.452 7.367 2.642
Pb 0.000 5.270 0.000
Pb 5.265 0.000 2.642

***

--- x ---
9
Lattice="8.884 0.000 0.000 -4.442 7.693 0.000 0.000 0.000 4.340" Properties=species:S:1:pos:R:3 comment="Pr6In2Pb, optimized geometry, DFT PBE-GGA" rho_g_cm3=7.2 n_ef_per_ev_atom=1.4532 pbc="T T T"
Pr -1.754 3.038 0.000
Pr -3.204 5.550 2.170
Pr 1.238 2.144 2.170
Pr 3.508 0.000 0.000
Pr 2.688 4.655 0.000
Pr 6.408 0.000 2.170
In 0.000 5.129 2.170
In 4.442 2.564 2.170
Pb 0.000 0.000 0.000

***

Most stable of them? x.

***

--- w ---
6
Lattice="-1.784 2.950 9.251 1.784 -2.950 9.251 1.784 2.950 -9.251" Properties=species:S:1:pos:R:3 comment="Pr2InPb3, optimized geometry, DFT PBE-GGA" rho_g_cm3=8.7 n_ef_per_ev_atom=0.7889 pbc="T T T"
Pr 0.000 0.000 2.854
Pr 0.000 0.000 15.647
In 0.000 0.000 9.251
Pb 1.784 0.000 0.000
Pb 0.000 0.000 6.127
Pb 0.000 0.000 12.374

***

--- x ---
6
Lattice="2.332 -7.926 0.000 2.332 7.926 0.000 0.000 0.000 4.833" Properties=species:S:1:pos:R:3 comment="Pr2InPb3, optimized geometry, DFT PBE-GGA" rho_g_cm3=9.5 n_ef_per_ev_atom=0.4493 pbc="T T T"
Pr 2.332 5.572 0.000
Pr 2.332 -5.572 0.000
In 0.000 0.000 2.417
Pb 2.332 2.764 2.417
Pb 2.332 0.000 0.000
Pb 2.332 -2.764 2.417

***

Most stable of them? x.

***

--- w ---
7
Lattice="4.760 -4.915 0.000 4.760 4.915 0.000 0.000 0.000 4.738" Properties=species:S:1:pos:R:3 comment="Pr2InPb4, optimized geometry, DFT PBE-GGA" rho_g_cm3=9.2 n_ef_per_ev_atom=0.5521 pbc="T T T"
Pr 4.760 2.483 0.000
Pr 4.760 -2.483 0.000
In 0.000 0.000 2.369
Pb 2.380 2.457 2.369
Pb 2.487 0.000 0.000
Pb 2.380 -2.457 2.369
Pb 7.033 0.000 0.000

***

--- x ---
7
Lattice="0.000 4.824 4.798 4.821 0.000 4.798 4.821 4.824 0.000" Properties=species:S:1:pos:R:3 comment="Pr2InPb4, optimized geometry, DFT PBE-GGA" rho_g_cm3=9.1 n_ef_per_ev_atom=0.3967 pbc="T T T"
Pr 2.411 2.412 0.000
Pr 2.411 2.412 4.798
In 4.821 4.824 4.792
Pb 4.821 2.479 2.382
Pb 4.821 7.169 2.382
Pb 7.160 4.824 7.214
Pb 2.482 4.824 7.214

***

Most stable of them? w.

***

--- w ---
12
Lattice="8.788 -3.318 0.000 8.788 3.318 0.000 -1.366 0.000 6.351" Properties=species:S:1:pos:R:3 comment="Pr3InPb2, optimized geometry, DFT PBE-GGA" rho_g_cm3=8.5 n_ef_per_ev_atom=0.7519 pbc="T T T"
Pr 7.763 2.443 4.763
Pr 5.265 0.775 2.537
Pr 4.582 -0.775 5.712
Pr 11.627 0.775 0.639
Pr 10.944 -0.775 3.814
Pr 8.446 -2.443 1.588
In 8.446 0.829 1.588
In 7.763 -0.829 4.763
Pb 2.736 0.746 0.419
Pb 2.052 -0.746 3.594
Pb 14.157 0.746 2.757
Pb 13.474 -0.746 5.932

***

--- x ---
24
Lattice="13.032 0.000 0.000 0.000 4.808 0.000 0.000 0.000 12.306" Properties=species:S:1:pos:R:3 comment="Pr3InPb2, optimized geometry, DFT PBE-GGA" rho_g_cm3=8.2 n_ef_per_ev_atom=0.6838 pbc="T T T"
Pr 0.540 1.202 1.521
Pr 1.749 3.606 7.017
Pr 2.702 1.202 9.972
Pr 3.814 3.606 3.819
Pr 4.767 1.202 0.864
Pr 5.976 3.606 7.674
Pr 7.056 1.202 4.632
Pr 8.265 3.606 11.442
Pr 9.218 1.202 8.487
Pr 10.330 3.606 2.334
Pr 11.283 1.202 5.289
Pr 12.492 3.606 10.785
In 1.840 1.202 4.494
In 4.676 3.606 10.647
In 8.356 1.202 1.659
In 11.192 3.606 7.812
Pb 0.076 3.606 3.938
Pb 2.375 3.606 0.318
Pb 4.141 1.202 6.471
Pb 6.440 1.202 10.091
Pb 6.592 3.606 2.215
Pb 8.891 3.606 5.835
Pb 10.657 1.202 11.988
Pb 12.956 1.202 8.368

***

Most stable of them? x.

***

--- w ---
5
Lattice="5.393 0.000 0.000 0.000 5.393 0.000 0.000 0.000 4.560" Properties=species:S:1:pos:R:3 comment="In2SiPtPb, optimized geometry, DFT PBE-GGA" rho_g_cm3=8.3 n_ef_per_ev_atom=0.5921 pbc="T T T"
In 0.000 2.696 0.000
In 2.696 0.000 0.000
Si 0.000 0.000 2.280
Pt 0.000 0.000 0.000
Pb 2.696 2.696 2.280

***

--- x ---
5
Lattice="5.374 0.000 0.000 0.000 5.374 0.000 0.000 0.000 4.559" Properties=species:S:1:pos:R:3 comment="In2SiPtPb, optimized geometry, DFT PBE-GGA" rho_g_cm3=8.3 n_ef_per_ev_atom=0.3721 pbc="T T T"
In 0.000 2.687 0.000
In 2.687 0.000 0.000
Si 0.000 0.000 0.000
Pt 0.000 0.000 2.280
Pb 2.687 2.687 2.280

***

Most stable of them? w.

***

--- w ---
6
Lattice="4.877 0.000 0.000 0.000 6.567 0.000 -2.431 0.000 5.184" Properties=species:S:1:pos:R:3 comment="PuInPb, optimized geometry, DFT PBE-GGA" rho_g_cm3=11.3 n_ef_per_ev_atom=3.2830 pbc="T T T"
Pu 0.000 0.000 0.000
Pu 0.000 3.283 0.000
In 0.006 1.642 3.511
In 2.440 4.925 1.673
Pb 0.004 4.925 3.477
Pb 2.443 1.642 1.707

***

--- x ---
3
Lattice="-1.794 1.794 6.474 1.794 -1.794 6.474 1.794 1.794 -6.474" Properties=species:S:1:pos:R:3 comment="PuInPb, optimized geometry, DFT PBE-GGA" rho_g_cm3=11.3 n_ef_per_ev_atom=2.2343 pbc="T T T"
Pu 0.000 0.000 0.000
In 0.000 0.000 8.625
Pb 0.000 0.000 4.177

***

--- y ---
3
Lattice="5.433 0.000 0.000 -2.717 4.705 0.000 0.000 0.000 3.221" Properties=species:S:1:pos:R:3 comment="PuInPb, optimized geometry, DFT PBE-GGA" rho_g_cm3=11.4 n_ef_per_ev_atom=3.0984 pbc="T T T"
Pu 0.000 0.000 0.000
In 0.000 3.137 1.606
Pb 2.717 1.568 1.614

***

Most stable of them? w.